The following is a PBE calculation of a geometry-optimized SmNiSn2Pt4 structure, from Alexandria.

Calculated values
M_tot   0.0000 μB/atom
Density of states at the Fermi level   3.213 states/eV/f.u.
Formation energy from the elements   -589 meV per atom

a b c (Å): 4.4714 4.4714 26.1047
angles (deg): 90.00 90.00 120.00
Space group R-3m (No. 166, hexagonal axes)
Unique sites:
Sm 0.0000 0.0000 0.0000 [3 per cell]
Ni 0.0000 0.0000 0.5000 [3 per cell]
Sn 0.0000 0.0000 0.2400 [6 per cell]
Pt 0.0000 0.0000 0.1342 [6 per cell]
Pt 0.0000 0.0000 0.4002 [6 per cell]

The following is a PBE calculation of a geometry-optimized Sm2UNi3Pt12 structure, from Alexandria.

Calculated values
M_tot   0.0003 μB/atom
Density of states at the Fermi level   16.391 states/eV/f.u.
Formation energy from the elements   -148 meV per atom

a b c (Å): 7.9592 7.9592 20.1152
angles (deg): 90.00 90.00 120.00
Space group R-3m (No. 166, hexagonal axes)
Unique sites:
Sm 0.0000 0.0000 0.1132 [6 per cell]
U 0.0000 0.0000 0.5000 [3 per cell]
Ni 0.0000 0.5000 0.0000 [9 per cell]
Pt 0.0007 0.5004 0.6296 [18 per cell]
Pt 0.0199 0.5100 0.8776 [18 per cell]

The following is a PBE calculation of a geometry-optimized SmYNiPt structure, from Alexandria.

Calculated values
M_tot   0.0000 μB/atom
Density of states at the Fermi level   2.741 states/eV/f.u.
Formation energy from the elements   -817 meV per atom

a b c (Å): 4.3770 3.8865 10.3853
angles (deg): 90.00 90.00 90.00
Space group Amm2 (No. 38)
Unique sites:
Sm 0.0000 0.0000 0.0000 [2 per cell]
Y 0.5000 0.0000 0.7198 [2 per cell]
Ni 0.0000 0.0000 0.2800 [2 per cell]
Pt 0.5000 0.0000 0.4347 [2 per cell]

Repeat the third record exactly.
The following is a PBE calculation of a geometry-optimized SmYNiPt structure, from Alexandria.

Calculated values
M_tot   0.0000 μB/atom
Density of states at the Fermi level   2.741 states/eV/f.u.
Formation energy from the elements   -817 meV per atom

a b c (Å): 4.3770 3.8865 10.3853
angles (deg): 90.00 90.00 90.00
Space group Amm2 (No. 38)
Unique sites:
Sm 0.0000 0.0000 0.0000 [2 per cell]
Y 0.5000 0.0000 0.7198 [2 per cell]
Ni 0.0000 0.0000 0.2800 [2 per cell]
Pt 0.5000 0.0000 0.4347 [2 per cell]